No. 1
Material: Y2PtW
Method: DFT, GGA-PBE
State: optimized geometry

```
Y2PtW
1.0
-2.406 -3.097 -2.869
-2.797 -3.456 1.961
-4.837 0.288 -0.370
W Pt Y
1 1 2
Cartesian
-7.530 -4.698 -0.958
-5.020 -3.132 -0.639
-2.510 -1.566 -0.319
0.000 0.000 0.000
```

Uncorrected energy: -7.801 eV/atom
Space group: F-43m (216)
Fermi-level density of states: 6.28 states/eV per cell
Polymorph energy (0 for the lowest one): 381 meV/atom

No. 2
Material: YPtW2
Method: DFT, GGA-PBE
State: optimized geometry

```
YPtW2
1.0
-3.967 -2.395 -2.139
1.783 -1.341 -1.804
0.847 -4.031 2.944
W Pt Y
2 1 1
Cartesian
1.428 -2.760 0.442
1.670 -1.268 -1.676
-0.012 -5.227 -0.215
-1.326 -2.541 -0.785
```

Uncorrected energy: -9.390 eV/atom
Space group: P2/m (10)
Fermi-level density of states: 3.96 states/eV per cell
Polymorph energy (0 for the lowest one): 241 meV/atom

No. 3
Material: YPt2W
Method: DFT, GGA-PBE
State: optimized geometry

```
YPt2W
1.0
-2.249 -2.846 2.613
-0.255 -4.314 1.144
3.937 0.246 5.096
W Y Pt
1 1 2
Cartesian
0.358 -1.728 2.213
1.075 -5.185 6.639
0.522 -3.451 4.156
0.195 -0.006 0.270
```

Uncorrected energy: -8.050 eV/atom
Space group: C2/m (12)
Fermi-level density of states: 3.53 states/eV per cell
Polymorph energy (0 for the lowest one): 243 meV/atom

No. 4
Material: YPt2W
Method: DFT, GGA-PBE
State: optimized geometry

```
YPt2W
1.0
2.928 0.004 0.000
-0.003 2.928 0.000
0.000 0.000 8.270
Y Pt W
1 2 1
Cartesian
1.463 1.466 6.203
0.000 0.000 0.191
0.000 0.000 3.944
1.463 1.466 2.068
```

Uncorrected energy: -8.293 eV/atom
Space group: P4/mmm (123)
Fermi-level density of states: 4.65 states/eV per cell
Polymorph energy (0 for the lowest one): 0 meV/atom